(1)
# Zr2TcSe

Crystalline Zr2TcSe at its relaxed geometry (PBE, Alexandria).

Its symmetry is No. 99. The value obtained for the uncorrected energy is -0.2996 hartree per atom. Its crystal system is tetragonal.

Lattice parameters (Å, degrees): 3.812 3.812 5.696 90.00 90.00 90.00
Fractional positions:
1 Zr 0.000 0.000 0.000
2 Zr 0.500 0.500 0.368
3 Tc 0.500 0.500 0.933
4 Se 0.000 0.000 0.506

(2)
# KIn4Os

Crystalline KIn4Os at its relaxed geometry (PBE, Alexandria).

Its symmetry is No. 216. The value obtained for the uncorrected energy is -0.1165 hartree per atom. Its crystal system is cubic.

Lattice parameters (Å, degrees): 5.910 5.910 5.910 60.00 60.00 60.00
Fractional positions:
1 K 0.000 0.000 0.000
2 In 0.376 0.376 0.376
3 In 0.376 0.376 0.873
4 In 0.376 0.873 0.376
5 In 0.873 0.376 0.376
6 Os 0.750 0.750 0.750